Compound: Li2CeSn
Source: Alexandria via LeMat-Bulk
Functional: PBE
Structure: relaxed

Crystal system = orthorhombic
Volume = 24.28 A^3/atom
E_form = -330 meV per atom
Raw total energy = -3.772 eV per atom

CIF file:
```
data_Li2CeSn
_cell_length_a 4.696
_cell_length_b 6.084
_cell_length_c 6.796
_cell_angle_alpha 90.00
_cell_angle_beta 90.00
_cell_angle_gamma 90.00
_symmetry_space_group_name_H-M 'P m m n'
_symmetry_Int_Tables_number 59
loop_
_symmetry_equiv_pos_as_xyz
'x,y,z'
'-x,-y,-z'
'-x+1/2,-y+1/2,z'
'x+1/2,y+1/2,-z'
'x+1/2,-y,-z'
'-x+1/2,y,z'
'-x,y+1/2,-z'
'x,-y+1/2,z'
loop_
_atom_site_label
_atom_site_fract_x
_atom_site_fract_y
_atom_site_fract_z
Li1 0.250 0.015 0.112
Ce1 0.250 0.250 0.573
Sn1 0.250 0.750 0.763
```